1.
Sm3Hg (PBEsol, optimized geometry); spin magnetization = 0.000 μB per atom; DOS at the Fermi energy = 1.29 states/eV/atom; energy of formation from the pure elements = -0.22 eV/atom
1.0
-3.708 3.805 -0.622
-4.946 -4.585 1.436
2.896 3.653 5.081
Sm Hg
6 2
direct
0.250 0.649 0.825
0.250 0.175 0.351
0.250 0.175 0.825
0.750 0.351 0.175
0.750 0.825 0.649
0.750 0.825 0.175
0.750 0.333 0.667
0.250 0.667 0.333

2.
K2AgPb (PBEsol, optimized geometry); spin magnetization = 0.000 μB per atom; DOS at the Fermi energy = 0.57 states/eV/atom; energy of formation from the pure elements = 0.01 eV/atom
1.0
-3.930 -1.248 -1.743
2.724 -1.666 -4.950
1.259 -3.389 5.338
Pb K Ag
1 2 1
direct
0.553 0.553 0.106
0.972 0.972 0.944
0.773 0.273 0.545
0.202 0.702 0.405

3.
HfZnAgSe2 (PBEsol, optimized geometry); spin magnetization = 0.000 μB per atom; DOS at the Fermi energy = 0.66 states/eV/atom; E = -0.16409 Ha/atom
1.0
5.011 0.000 0.000
0.000 5.011 0.000
0.000 0.000 5.489
Zn Hf Se Ag
1 1 2 1
direct
0.500 0.500 0.500
0.000 0.000 0.000
0.000 0.500 0.000
0.500 0.000 0.000
0.000 0.000 0.500

4.
K2H2C2O5 (PBEsol, optimized geometry); spin magnetization = 0.000 μB per atom; DOS at the Fermi energy = 0.00 states/eV/atom; E = -0.23435 Ha/atom
1.0
-0.699 -0.243 5.382
-0.255 -5.040 -2.011
10.314 1.024 -1.435
C H K O
4 4 4 10
direct
0.853 0.449 0.948
0.001 0.905 0.552
0.147 0.551 0.052
0.999 0.095 0.448
0.433 0.547 0.811
0.236 0.623 0.689
0.567 0.453 0.189
0.764 0.377 0.311
0.160 0.024 0.866
0.659 0.295 0.634
0.840 0.976 0.134
0.341 0.705 0.366
0.756 0.624 0.910
0.214 0.846 0.590
0.244 0.376 0.090
0.786 0.154 0.410
0.734 0.202 0.908
0.794 0.826 0.592
0.266 0.798 0.092
0.206 0.174 0.408
0.239 0.489 0.750
0.761 0.511 0.250

5.
Ba4P2O (PBEsol, optimized geometry); spin magnetization = 0.000 μB per atom; E = -0.18557 Ha/atom
1.0
7.130 0.000 0.000
0.000 7.533 0.000
-3.565 0.000 8.155
Ba P O
8 4 2
direct
0.677 0.432 0.353
0.323 0.568 0.647
0.177 0.068 0.353
0.823 0.932 0.647
0.729 0.250 0.959
0.771 0.750 0.041
0.271 0.750 0.041
0.229 0.250 0.959
0.134 0.475 0.268
0.866 0.525 0.732
0.366 0.975 0.732
0.634 0.025 0.268
0.500 0.500 0.000
0.000 0.000 0.000

6.
Al7C3N3 (PBEsol, optimized geometry); spin magnetization = 0.000 μB per atom; DOS at the Fermi energy = 0.11 states/eV/atom; E = -0.25915 Ha/atom
1.0
3.235 0.000 0.000
-1.618 2.802 0.000
0.000 0.000 31.888
Al C N
14 6 6
direct
0.333 0.667 0.970
0.667 0.333 0.470
0.000 0.000 0.892
0.000 0.000 0.392
0.333 0.667 0.813
0.667 0.333 0.313
0.000 0.000 0.741
0.000 0.000 0.241
0.333 0.667 0.684
0.667 0.333 0.184
0.000 0.000 0.611
0.000 0.000 0.111
0.333 0.667 0.532
0.667 0.333 0.032
0.000 0.000 0.000
0.000 0.000 0.500
0.333 0.667 0.752
0.667 0.333 0.252
0.000 0.000 0.671
0.000 0.000 0.171
0.333 0.667 0.912
0.667 0.333 0.412
0.000 0.000 0.834
0.000 0.000 0.334
0.333 0.667 0.589
0.667 0.333 0.089

7.
YMnP2Rh (PBEsol, optimized geometry); spin magnetization = 0.694 μB per atom; DOS at the Fermi energy = 1.04 states/eV/atom; energy of formation from the pure elements = 1.61 eV/atom
1.0
-0.296 2.757 -3.887
3.893 -2.360 -1.970
-3.059 -3.291 -2.101
Y P Mn Rh
1 2 1 1
direct
0.000 0.000 0.000
0.000 0.000 0.500
0.000 0.500 0.000
0.500 0.000 0.000
0.500 0.500 0.500

8.
Ba3ZrSc (PBEsol, optimized geometry); spin magnetization = 0.091 μB per atom; DOS at the Fermi energy = 1.54 states/eV/atom; energy of formation from the pure elements = 0.96 eV/atom
1.0
6.078 0.000 0.000
0.000 6.078 0.000
0.000 0.000 6.078
Sc Ba Zr
1 3 1
direct
0.500 0.500 0.500
0.000 0.500 0.000
0.000 0.000 0.500
0.500 0.000 0.000
0.000 0.000 0.000

9.
Al4P3H3O15 (PBEsol, optimized geometry); spin magnetization = 0.000 μB per atom; DOS at the Fermi energy = 0.00 states/eV/atom; E = -0.26853 Ha/atom
1.0
-5.917 -1.572 3.482
-0.171 -6.458 -3.205
8.058 -1.271 5.995
Al H O P
8 6 30 6
direct
0.164 0.832 0.339
0.824 0.668 0.661
0.836 0.168 0.661
0.176 0.332 0.339
0.344 0.922 0.147
0.197 0.578 0.853
0.656 0.078 0.853
0.803 0.422 0.147
0.507 0.750 0.000
0.493 0.250 0.000
0.968 0.606 0.389
0.578 0.894 0.611
0.032 0.394 0.611
0.422 0.106 0.389
0.093 0.811 0.132
0.961 0.689 0.868
0.907 0.189 0.868
0.039 0.311 0.132
0.790 0.588 0.028
0.762 0.912 0.972
0.210 0.412 0.972
0.238 0.088 0.028
0.744 0.639 0.466
0.278 0.861 0.534
0.256 0.361 0.534
0.722 0.139 0.466
0.613 0.532 0.206
0.408 0.968 0.794
0.387 0.468 0.794
0.592 0.032 0.206
0.415 0.763 0.309
0.106 0.737 0.691
0.585 0.237 0.691
0.894 0.263 0.309
0.415 0.429 0.345
0.070 0.071 0.655
0.585 0.571 0.655
0.930 0.929 0.345
0.368 0.750 0.000
0.632 0.250 0.000
0.041 0.579 0.321
0.721 0.921 0.679
0.959 0.421 0.679
0.279 0.079 0.321
0.895 0.750 0.000
0.105 0.250 0.000
0.547 0.587 0.333
0.214 0.913 0.667
0.453 0.413 0.667
0.786 0.087 0.333

10.
SbPPb2 (PBEsol, optimized geometry); spin magnetization = 0.000 μB per atom; DOS at the Fermi energy = 0.51 states/eV/atom; E = -0.16297 Ha/atom
1.0
3.754 0.000 0.000
0.000 4.558 -0.011
0.000 -1.722 6.200
P Pb Sb
1 2 1
direct
0.500 0.534 0.802
0.000 0.034 0.927
0.500 0.670 0.271
0.000 0.263 0.501

11.
Mg5Cu3 (PBEsol, optimized geometry); spin magnetization = 0.000 μB per atom; DOS at the Fermi energy = 0.24 states/eV/atom; E above lowest polymorph = 0 meV per atom; energy of formation from the pure elements = -0.04 eV/atom
1.0
-0.494 4.712 -1.897
-5.632 3.663 3.701
4.531 4.807 3.897
Cu Mg
6 10
direct
0.665 0.500 0.170
0.750 0.000 0.000
0.165 0.170 0.500
0.835 0.830 0.500
0.250 0.000 0.000
0.335 0.500 0.830
0.218 0.861 0.702
0.921 0.298 0.861
0.250 0.500 0.500
0.421 0.861 0.298
0.718 0.702 0.861
0.282 0.298 0.139
0.579 0.139 0.702
0.750 0.500 0.500
0.079 0.702 0.139
0.782 0.139 0.298

12.
Mg2Sb2Se (PBEsol, optimized geometry); spin magnetization = 0.000 μB per atom; DOS at the Fermi energy = 0.38 states/eV/atom; E = -0.12884 Ha/atom
1.0
-2.854 -2.554 2.452
5.586 -4.279 2.044
1.160 4.295 5.823
Sb Mg Se
4 4 2
direct
0.500 0.134 0.634
0.500 0.634 0.866
0.500 0.866 0.366
0.500 0.366 0.134
0.000 0.329 0.829
0.000 0.829 0.671
0.000 0.671 0.171
0.000 0.171 0.329
0.000 0.000 0.000
0.000 0.500 0.500